Material: Mg6AlGa3
Method: DFT, GGA-PBE
State: optimized geometry

Summary:
D(E_F)	0.1866	states/eV per atom
raw total energy	-46.030	eV/cell
formation energy from the elements	-0.624	eV per formula unit

The structure in POSCAR format:
```
Mg6AlGa3
1.0
4.944 -7.263 0.000
4.944 7.263 0.000
0.000 0.000 5.876
Mg Al Ga
12 2 6
Direct
0.055 0.945 0.500 Mg
0.059 0.446 0.991 Mg
0.273 0.727 0.680 Mg
0.296 0.329 0.716 Mg
0.329 0.296 0.216 Mg
0.446 0.059 0.491 Mg
0.554 0.941 0.991 Mg
0.671 0.704 0.716 Mg
0.704 0.671 0.216 Mg
0.727 0.273 0.180 Mg
0.941 0.554 0.491 Mg
0.945 0.055 0.000 Mg
0.228 0.772 0.206 Al
0.772 0.228 0.706 Al
0.023 0.262 0.425 Ga
0.262 0.023 0.925 Ga
0.400 0.600 0.023 Ga
0.600 0.400 0.523 Ga
0.738 0.977 0.425 Ga
0.977 0.738 0.925 Ga
```